Entry 1:
The following is a DFT calculation (meta-GGA SCAN) of Ta3PRu at its PBEsol-relaxed geometry.

Properties
The value obtained for the energy relative to the elements is 1260 meV/atom.

Cell lengths 4.7181, 4.7181, 4.7181 Å; angles 90.00, 90.00, 90.00 degrees
Fractional coordinates of all 5 atoms:
Ru (0.0000, 0.0000, 0.0000)
P (0.5000, 0.5000, 0.5000)
Ta (0.0000, 0.5000, 0.0000)
Ta (0.0000, 0.0000, 0.5000)
Ta (0.5000, 0.0000, 0.0000)

***

Entry 2:
The following is a DFT calculation (meta-GGA SCAN) of TaTcPRu2 at its PBEsol-relaxed geometry.

Properties
The value obtained for the energy relative to the elements is 1640 meV/atom.

Cell lengths 4.6009, 4.5932, 4.5932 Å; angles 90.00, 90.00, 90.00 degrees
Site moments in Bohr magnetons follow the coordinates.
Fractional coordinates of all 5 atoms:
Ru (0.0000, 0.0000, 0.5000)  -0.50
Ru (0.0000, 0.5000, 0.0000)  -0.50
Tc (0.5000, 0.5000, 0.5000)  3.45
P (0.5000, 0.0000, 0.0000)  -0.14
Ta (0.0000, 0.0000, 0.0000)  0.03

***

Entry 3:
The following is a DFT calculation (meta-GGA SCAN) of TbP12Ru4 at its PBEsol-relaxed geometry.

Properties
The value obtained for the energy relative to the elements is -719 meV/atom.

Cell lengths 6.9235, 6.9235, 6.9235 Å; angles 109.47, 109.47, 109.47 degrees
Fractional coordinates of all 17 atoms:
Tb (0.0000, 0.0000, 0.0000)
P (0.8562, 0.4996, 0.6434)
P (0.8562, 0.2128, 0.3566)
P (0.1438, 0.7872, 0.6434)
P (0.6434, 0.1438, 0.7872)
P (0.2128, 0.3566, 0.8562)
P (0.1438, 0.5004, 0.3566)
P (0.3566, 0.1438, 0.5004)
P (0.5004, 0.3566, 0.1438)
P (0.3566, 0.8562, 0.2128)
P (0.4996, 0.6434, 0.8562)
P (0.6434, 0.8562, 0.4996)
P (0.7872, 0.6434, 0.1438)
Ru (0.5000, 0.5000, 0.5000)
Ru (0.5000, 0.0000, 0.0000)
Ru (0.0000, 0.0000, 0.5000)
Ru (0.0000, 0.5000, 0.0000)

***

Entry 4:
The following is a DFT calculation (meta-GGA SCAN) of TcPRu2 at its PBEsol-relaxed geometry.

Properties
The value obtained for the energy relative to the elements is -219 meV/atom.

Cell lengths 2.8099, 2.8099, 6.5052 Å; angles 90.00, 90.00, 90.00 degrees
Fractional coordinates of all 4 atoms:
P (0.5000, 0.5000, 0.7557)
Ru (0.0000, 0.0000, 0.9596)
Ru (0.5000, 0.5000, 0.2591)
Tc (0.0000, 0.0000, 0.5256)

***

Entry 5:
The following is a DFT calculation (meta-GGA SCAN) of TcPRu2 at its PBEsol-relaxed geometry.

Properties
The value obtained for the energy relative to the elements is -83 meV/atom.

Cell lengths 2.7438, 2.7438, 8.1684 Å; angles 80.33, 80.33, 60.00 degrees
Fractional coordinates of all 4 atoms:
P (0.0000, 0.0000, 0.0000)
Ru (0.2575, 0.2575, 0.2276)
Ru (0.7425, 0.7425, 0.7724)
Tc (0.5000, 0.5000, 0.5000)

***

Entry 6:
The following is a DFT calculation (meta-GGA SCAN) of TePRu4 at its PBEsol-relaxed geometry.

Properties
The calculation puts the uncorrected formation energy at 883 meV/atom.

Cell lengths 5.1056, 5.1056, 5.1056 Å; angles 60.00, 60.00, 60.00 degrees
Site moments in Bohr magnetons follow the coordinates.
Fractional coordinates of all 6 atoms:
P (0.0000, 0.0000, 0.0000)  0.01
Ru (0.3746, 0.3746, 0.3746)  1.13
Ru (0.3746, 0.3746, 0.8763)  1.13
Ru (0.8763, 0.3746, 0.3746)  1.13
Ru (0.3746, 0.8763, 0.3746)  1.13
Te (0.7500, 0.7500, 0.7500)  0.01

***

Entry 7:
The following is a DFT calculation (meta-GGA SCAN) of TeP2Ru at its PBEsol-relaxed geometry.

Properties
The calculation puts the uncorrected formation energy at 319 meV/atom.

Cell lengths 4.4523, 4.4523, 4.4523 Å; angles 109.50, 109.50, 109.41 degrees
Fractional coordinates of all 4 atoms:
P (0.5000, 0.0000, 0.5000)
P (0.0000, 0.5000, 0.5000)
Ru (0.0000, 0.0000, 0.0000)
Te (0.5000, 0.5000, 0.0000)

***

Entry 8:
The following is a DFT calculation (meta-GGA SCAN) of TePRu2 at its PBEsol-relaxed geometry.

Properties
The energy relative to the lowest polymorph listed for this composition comes out at 7.05 kcal/mol of atoms. The calculation puts the uncorrected formation energy at 198 meV/atom.

Cell lengths 3.5354, 4.7529, 4.7529 Å; angles 63.86, 68.17, 68.17 degrees
Fractional coordinates of all 4 atoms:
P (0.0000, 0.5000, 0.5000)
Ru (0.3055, 0.6945, 0.6945)
Ru (0.6945, 0.3055, 0.3055)
Te (0.5000, 0.0000, 0.0000)

***

Entry 9:
The following is a DFT calculation (meta-GGA SCAN) of TePRu2 at its PBEsol-relaxed geometry.

Properties
The energy relative to the lowest polymorph listed for this composition comes out at 17.77 kcal/mol of atoms. The calculation puts the uncorrected formation energy at 663 meV/atom.

Cell lengths 3.0462, 4.0909, 5.0525 Å; angles 90.00, 90.00, 90.00 degrees
Fractional coordinates of all 4 atoms:
P (0.0000, 0.5000, 0.5000)
Ru (0.0000, 0.0000, 0.0000)
Ru (0.5000, 0.0000, 0.5000)
Te (0.5000, 0.5000, 0.0000)

***

Entry 10:
The following is a DFT calculation (meta-GGA SCAN) of TePRu2 at its PBEsol-relaxed geometry.

Properties
The energy relative to the lowest polymorph listed for this composition comes out at 7.66 kcal/mol of atoms. The calculation puts the uncorrected formation energy at 225 meV/atom.

Cell lengths 2.9749, 2.9749, 9.3200 Å; angles 80.82, 80.82, 60.00 degrees
Fractional coordinates of all 4 atoms:
P (0.2736, 0.2736, 0.1792)
Ru (0.9972, 0.9972, 0.0085)
Ru (0.7448, 0.7448, 0.7656)
Te (0.4844, 0.4844, 0.5466)

***

Entry 11:
The following is a DFT calculation (meta-GGA SCAN) of TePRu2 at its PBEsol-relaxed geometry.

Properties
The energy relative to the lowest polymorph listed for this composition comes out at 0.00 kcal/mol of atoms. The calculation puts the uncorrected formation energy at -107 meV/atom.

Cell lengths 3.0124, 3.7246, 6.4823 Å; angles 100.21, 90.00, 113.85 degrees
Fractional coordinates of all 4 atoms:
P (0.5000, 0.0000, 0.0000)
Ru (0.7615, 0.5230, 0.8241)
Ru (0.2385, 0.4770, 0.1759)
Te (0.0000, 0.0000, 0.5000)

***

Entry 12:
The following is a DFT calculation (meta-GGA SCAN) of TeP2Ru at its PBEsol-relaxed geometry.

Properties
The calculation puts the uncorrected formation energy at 410 meV/atom.

Cell lengths 2.9138, 4.8995, 5.6895 Å; angles 115.50, 104.84, 90.00 degrees
Fractional coordinates of all 4 atoms:
P (0.8065, 0.8065, 0.6129)
P (0.1935, 0.1935, 0.3871)
Ru (0.5000, 0.0000, 0.0000)
Te (0.0000, 0.5000, 0.0000)

***

| no. | E_tot (eV/atom) | size of the total moment (μB/f.u.) |
| --- | --- | --- |
| 1 | -47.7351 | 0.00 |
| 2 | -34.6993 | 2.36 |
| 3 | -19.0045 | 0.00 |
| 4 | -28.9971 | 0.00 |
| 5 | -28.8607 | 0.00 |
| 6 | -30.2765 | 4.62 |
| 7 | -22.8994 | 0.00 |
| 8 | -29.1272 | 0.00 |
| 9 | -28.6626 | 0.00 |
| 10 | -29.1010 | 0.00 |
| 11 | -29.4330 | 0.00 |
| 12 | -22.8082 | 0.00 |